{"formula": "K2CuAu", "functional": "PBE", "state": "relaxed", "lattice_angstrom": [[0.000, 3.993, 3.993], [3.993, 0.000, 3.993], [3.993, 3.993, 0.000]], "species": ["K", "K", "Au", "Cu"], "fractional_positions": [[0.250, 0.250, 0.250], [0.750, 0.750, 0.750], [0.500, 0.500, 0.500], [0.000, 0.000, 0.000]], "ef_ev_per_atom": 0.09, "spacegroup": "Fm-3m", "dft_energy_ev_per_atom": -2.299, "relative_energy_kj_per_mol_fu": 59}